Computed, not measured: a relaxed structure of Li2VCoPb at the PBE level of DFT.

abc: 4.674 4.674 5.241
angles: 90.00 90.00 90.00
Fractional positions:
Li  0.000  0.500  0.000
Li  0.500  0.000  0.000
V  0.000  0.000  0.000
Co  0.500  0.500  0.500
Pb  0.000  0.000  0.500

Space-group type ... P4/mmm (123)
Formation energy ... 1242 meV per atom
VASP energy ... -3.510 eV per atom
Crystal system ... tetragonal
Total moment ... 5.77 μB per formula unit


Computed, not measured: a relaxed structure of Be4P5 at the PBE level of DFT.

abc: 7.680 7.680 4.561
angles: 90.00 90.00 120.00
Fractional positions:
Be  0.000  0.000  0.000
Be  0.000  0.000  0.500
Be  0.000  0.478  0.250
Be  0.000  0.522  0.750
Be  0.478  0.000  0.250
Be  0.478  0.478  0.750
Be  0.522  0.000  0.750
Be  0.522  0.522  0.250
P  0.000  0.243  0.750
P  0.000  0.757  0.250
P  0.243  0.000  0.750
P  0.243  0.243  0.250
P  0.333  0.667  0.000
P  0.333  0.667  0.500
P  0.667  0.333  0.000
P  0.667  0.333  0.500
P  0.757  0.000  0.250
P  0.757  0.757  0.750

Space-group type ... P6_3/mcm (193)
Formation energy ... 465 meV per atom
VASP energy ... -4.197 eV per atom
Crystal system ... hexagonal
Total moment ... 0.00 μB per formula unit


Computed, not measured: a relaxed structure of FeCu2Hg2 at the PBE level of DFT.

abc: 6.590 6.590 3.836
angles: 90.00 90.00 90.00
Fractional positions:
Fe  0.000  0.000  0.000
Fe  0.500  0.500  0.000
Cu  0.132  0.368  0.000
Cu  0.368  0.868  0.000
Cu  0.632  0.132  0.000
Cu  0.868  0.632  0.000
Hg  0.175  0.675  0.500
Hg  0.325  0.175  0.500
Hg  0.675  0.825  0.500
Hg  0.825  0.325  0.500

Relative energy among the computed polymorphs ... 0 meV/atom
Space-group type ... P4/mbm (127)
Formation energy ... 404 meV per atom
VASP energy ... -3.048 eV per atom
Crystal system ... tetragonal
Total moment ... 2.99 μB per formula unit


Computed, not measured: a relaxed structure of LiGdHgSb at the PBE level of DFT.

abc: 5.172 5.172 5.172
angles: 60.00 60.00 60.00
Fractional positions:
Li  0.000  0.000  0.000
Gd  0.500  0.500  0.500
Hg  0.250  0.250  0.250
Sb  0.750  0.750  0.750

Space-group type ... F-43m (216)
E_form (uncorrected) ... -0.59 eV per atom
VASP energy ... -5.690 eV per atom
Crystal system ... cubic
Total moment ... 6.93 μB per formula unit


Computed, not measured: a relaxed structure of DyYPb2O8 at the PBE level of DFT.

abc: 6.599 6.599 6.599
angles: 129.91 129.91 73.55
Fractional positions:
Dy  0.000  0.000  0.000
Y  0.250  0.750  0.500
Pb  0.500  0.500  0.000
Pb  0.750  0.250  0.500
O  0.057  0.090  0.448
O  0.192  0.660  0.050
O  0.340  0.390  0.532
O  0.391  0.943  0.033
O  0.610  0.142  0.950
O  0.642  0.609  0.552
O  0.858  0.808  0.468
O  0.910  0.358  0.967

Space-group type ... I-4 (82)
E_form (uncorrected) ... -1.77 eV per atom
VASP energy ... -6.612 eV per atom
Crystal system ... tetragonal
Total moment ... 2.04 μB per formula unit


Computed, not measured: a relaxed structure of Er2LuH at the PBE level of DFT.

abc: 8.543 8.543 8.543
angles: 23.98 23.98 23.98
Fractional positions:
Er  0.221  0.221  0.221
Er  0.779  0.779  0.779
Lu  0.000  0.000  0.000
H  0.500  0.500  0.500

Relative energy among the computed polymorphs ... 0 meV/atom
Space-group type ... R-3m (166)
VASP energy ... -4.437 eV per atom
Crystal system ... trigonal
Total moment ... 0.00 μB per formula unit


Computed, not measured: a relaxed structure of TbPm2Y12 at the PBE level of DFT.

abc: 6.711 6.711 24.872
angles: 90.00 90.00 116.28
Fractional positions:
Tb  0.250  0.750  0.000
Tb  0.750  0.250  0.000
Pm  0.250  0.750  0.270
Pm  0.250  0.750  0.735
Pm  0.750  0.250  0.265
Pm  0.750  0.250  0.730
Y  0.000  0.000  0.077
Y  0.000  0.000  0.923
Y  0.000  0.500  0.127
Y  0.000  0.500  0.873
Y  0.011  0.511  0.585
Y  0.014  0.986  0.439
Y  0.250  0.250  0.199
Y  0.250  0.250  0.327
Y  0.250  0.250  0.673
Y  0.250  0.250  0.801
Y  0.486  0.514  0.439
Y  0.489  0.989  0.585
Y  0.500  0.000  0.127
Y  0.500  0.000  0.873
Y  0.500  0.500  0.077
Y  0.500  0.500  0.923
Y  0.511  0.011  0.415
Y  0.514  0.486  0.561
Y  0.750  0.750  0.199
Y  0.750  0.750  0.327
Y  0.750  0.750  0.673
Y  0.750  0.750  0.801
Y  0.986  0.014  0.561
Y  0.989  0.489  0.415

Space-group type ... Cmme (67)
Formation energy ... 169 meV per atom
VASP energy ... -5.944 eV per atom
Crystal system ... orthorhombic
Total moment ... 0.01 μB per formula unit


Computed, not measured: a relaxed structure of KAg2Se2 at the PBE level of DFT.

abc: 6.934 6.993 7.200
angles: 79.41 68.05 60.37
Fractional positions:
K  0.117  0.266  0.250
K  0.883  0.734  0.750
Ag  0.251  0.997  0.750
Ag  0.440  0.620  0.250
Ag  0.560  0.380  0.750
Ag  0.749  0.003  0.250
Se  0.180  0.718  0.038
Se  0.397  0.283  0.537
Se  0.603  0.717  0.463
Se  0.820  0.282  0.962

Relative energy among the computed polymorphs ... 24 meV/atom
Space-group type ... P-1 (2)
E_form (uncorrected) ... -0.42 eV per atom
VASP energy ... -3.169 eV per atom
Crystal system ... triclinic
Total moment ... 0.00 μB per formula unit


Computed, not measured: a relaxed structure of Cr2PRu at the PBE level of DFT.

abc: 4.403 4.403 4.372
angles: 105.00 105.00 38.05
Fractional positions:
Cr  0.000  0.000  0.000
Cr  0.748  0.748  0.129
P  0.256  0.256  0.662
Ru  0.518  0.518  0.519

Space-group type ... Cm (8)
Formation energy ... -148 meV per atom
VASP energy ... -8.631 eV per atom
Crystal system ... monoclinic
Total moment ... 0.47 μB per formula unit


Computed, not measured: a relaxed structure of Cs2RbNaHg at the PBE level of DFT.

abc: 7.358 7.358 7.098
angles: 90.00 90.00 90.00
Fractional positions:
Cs  0.000  0.500  0.000
Cs  0.500  0.000  0.000
Rb  0.000  0.000  0.500
Na  0.500  0.500  0.500
Hg  0.000  0.000  0.000

Relative energy among the computed polymorphs ... 70 meV/atom
Space-group type ... P4/mmm (123)
Formation energy ... -22 meV per atom
VASP energy ... -0.881 eV per atom
Crystal system ... tetragonal
Total moment ... 0.00 μB per formula unit